Material: SiNiHRu2
Method: DFT, PBE
State: relaxed

Results
- space-group type = P4/mmm
- E_tot (eV per cell) = -34.0
- D(E_F) (states/eV/cell) = 2.70

Unit cell a=4.0573 b=4.0573 c=3.2127 alpha=90.00 beta=90.00 gamma=90.00
Element x y z (fractional)
H: 0.0000 0.0000 0.0000
Si: 0.5000 0.5000 0.5000
Ru: 0.5000 0.0000 0.0000
Ru: 0.0000 0.5000 0.0000
Ni: 0.0000 0.0000 0.5000